# 1
Mg4Tc5 | PBE-GGA | relaxed

Structure (extended XYZ):
```
9
Lattice="-4.716 4.716 1.615 4.716 -4.716 1.615 4.716 4.716 -1.615" Properties=species:S:1:pos:R:3 pbc="T T T"
Mg 3.027 0.000 0.000
Mg 6.404 0.000 0.000
Mg 0.000 3.027 0.000
Mg 0.000 6.404 0.000
Tc 0.000 0.000 0.000
Tc 3.070 3.070 0.000
Tc 1.645 -1.645 1.615
Tc -1.645 1.645 1.615
Tc 1.645 1.645 1.615
```

Calculated values
For the volume, the calculation gives 143.7 Å³/cell. For the total energy, the calculation gives -6.1890 eV per atom.



# 2
MgTc5 | PBE-GGA | relaxed

Structure (extended XYZ):
```
6
Lattice="2.786 0.000 0.000 -1.393 2.413 0.000 0.000 0.000 13.461" Properties=species:S:1:pos:R:3 pbc="T T T"
Mg 0.000 0.000 0.000
Tc 0.000 0.000 4.502
Tc 0.000 0.000 8.959
Tc 1.393 0.804 2.398
Tc 1.393 0.804 6.731
Tc 1.393 0.804 11.063
```

Calculated values
For the volume, the calculation gives 90.5 Å³/cell. For the total energy, the calculation gives -8.8244 eV per atom.